Record 1
Material: AgBiSeN2
Method: DFT, PBE
State: optimized geometry

Cell and atoms, written as extended XYZ:
```
5
Lattice="-3.1203 -2.8976 -0.0476 2.7304 -2.9628 1.3787 -1.2105 1.2211 5.0215" Properties=species:S:1:pos:R:3 pbc="T T T"
Se -0.6053 0.6106 2.5108
Bi -0.8002 -2.3196 3.1763
Ag 0.0000 0.0000 0.0000
N 1.3652 -1.4814 0.6894
N -1.5601 -1.4488 -0.0238
```

Summary:
**Formation energy (no corrections)**: 1.572 eV per atom
**E above lowest polymorph**: 36.8 meV/atom
**Space group**: P4/mmm (123)
**M_tot**: 2.521 μB per formula unit


Record 2
Material: AgBiSeN2
Method: DFT, PBE
State: optimized geometry

Cell and atoms, written as extended XYZ:
```
5
Lattice="4.3188 0.0000 0.0000 0.0000 4.3188 0.0000 0.0000 0.0000 5.9154" Properties=species:S:1:pos:R:3 pbc="T T T"
Se 0.0000 0.0000 2.9577
Bi 0.0000 0.0000 0.0000
Ag 2.1594 2.1594 2.9577
N 0.0000 2.1594 0.0000
N 2.1594 0.0000 0.0000
```

Summary:
**Formation energy (no corrections)**: 1.535 eV per atom
**E above lowest polymorph**: 0.0 meV/atom
**Space group**: P4/mmm (123)
**M_tot**: 2.346 μB per formula unit


Record 3
Material: SiAg2BiN
Method: DFT, PBE
State: optimized geometry

Cell and atoms, written as extended XYZ:
```
5
Lattice="-1.7126 0.5740 3.9311 -2.0127 -3.8162 -0.3196 4.0928 -2.3365 2.1242" Properties=species:S:1:pos:R:3 pbc="T T T"
Si 0.1837 -2.7893 2.8679
Bi 2.0464 -1.1683 1.0621
Ag -1.0064 -1.9081 -0.1598
Ag -0.8563 0.2870 1.9656
N 0.0000 0.0000 0.0000
```

Summary:
**Formation energy (no corrections)**: 0.795 eV per atom
**Space group**: P4/mmm (123)
**M_tot**: 0.000 μB per formula unit